Entry 1:
{
  "formula": "HfPt",
  "functional": "PBE-GGA",
  "state": "optimized geometry",
  "spacegroup": "P2_12_12_1",
  "final_energy_ev_per_atom": -9.067,
  "e_form_ev_per_atom": -1.070,
  "m_tot_mub_per_cell": 0.0,
  "dos_at_fermi_per_ev_atom": 0.287,
  "cell": [[5.347, 0.000, 0.000], [0.000, 5.325, 0.000], [0.000, 0.000, 10.728]],
  "species": ["Hf", "Hf", "Hf", "Hf", "Hf", "Hf", "Hf", "Hf", "Pt", "Pt", "Pt", "Pt", "Pt", "Pt", "Pt", "Pt"],
  "frac_coords": [[0.341, 0.083, 0.550], [0.841, 0.417, 0.450], [0.659, 0.583, 0.950], [0.159, 0.917, 0.050], [0.314, 0.406, 0.240], [0.814, 0.094, 0.760], [0.686, 0.906, 0.260], [0.186, 0.594, 0.740], [0.846, 0.931, 0.512], [0.346, 0.569, 0.488], [0.154, 0.431, 0.988], [0.654, 0.069, 0.012], [0.190, 0.912, 0.302], [0.690, 0.588, 0.698], [0.810, 0.412, 0.198], [0.310, 0.088, 0.802]]
}

=====

Entry 2:
{
  "formula": "CuBiP",
  "functional": "PBE-GGA",
  "state": "optimized geometry",
  "de_polymorph_kj_per_mol_fu": 0.0,
  "spacegroup": "P3m1",
  "final_energy_ev_per_atom": -4.336,
  "e_form_ev_per_atom": 0.127,
  "m_tot_mub_per_cell": 0.0,
  "dos_at_fermi_per_ev_atom": 0.412,
  "cell": [[-2.040, -3.861, 1.380], [2.761, -2.087, -1.758], [0.448, 1.085, 3.700]],
  "species": ["P", "Bi", "Cu"],
  "frac_coords": [[0.113, 0.000, 0.000], [0.638, 0.667, 0.333], [0.248, 0.333, 0.667]]
}

=====

Entry 3:
{
  "formula": "PrNd6Ga2",
  "functional": "PBE-GGA",
  "state": "optimized geometry",
  "spacegroup": "C2/m",
  "final_energy_ev_per_atom": -4.612,
  "e_form_ev_per_atom": -0.230,
  "m_tot_mub_per_cell": 0.0,
  "dos_at_fermi_per_ev_atom": 1.077,
  "cell": [[1.909, 6.433, 0.138], [-1.909, 6.433, 0.138], [0.000, 3.943, 11.547]],
  "species": ["Pr", "Nd", "Nd", "Nd", "Nd", "Nd", "Nd", "Ga", "Ga"],
  "frac_coords": [[0.000, 0.000, 0.000], [0.692, 0.692, 0.126], [0.308, 0.308, 0.874], [0.313, 0.313, 0.588], [0.975, 0.975, 0.323], [0.025, 0.025, 0.677], [0.687, 0.687, 0.412], [0.350, 0.350, 0.205], [0.650, 0.650, 0.795]]
}

=====

Entry 4:
{
  "formula": "Na5Pu2F12",
  "functional": "PBE-GGA",
  "state": "optimized geometry",
  "formation_energy_uncorrected_ev_per_atom": -3.08,
  "spacegroup": "C2/m",
  "final_energy_ev_per_atom": -6.122,
  "m_tot_mub_per_cell": 9.0,
  "dos_at_fermi_per_ev_atom": 1.066,
  "cell": [[8.121, 0.000, 0.000], [-4.061, 6.161, -1.093], [0.000, -3.484, 6.498]],
  "species": ["Na", "Na", "Na", "Na", "Na", "Pu", "Pu", "F", "F", "F", "F", "F", "F", "F", "F", "F", "F", "F", "F"],
  "frac_coords": [[0.286, 0.572, 0.496], [0.348, 0.695, 0.171], [0.000, 0.000, 0.500], [0.652, 0.305, 0.829], [0.714, 0.428, 0.504], [0.755, 0.000, 0.000], [0.245, 0.000, 0.000], [0.036, 0.072, 0.223], [0.963, 0.560, 0.803], [0.597, 0.560, 0.803], [0.292, 0.951, 0.684], [0.660, 0.951, 0.684], [0.634, 0.268, 0.123], [0.366, 0.732, 0.877], [0.708, 0.049, 0.316], [0.340, 0.049, 0.316], [0.037, 0.440, 0.197], [0.403, 0.440, 0.197], [0.964, 0.928, 0.777]]
}

=====

Entry 5:
{
  "formula": "BeCoP2",
  "functional": "PBE-GGA",
  "state": "optimized geometry",
  "spacegroup": "C2/m",
  "final_energy_ev_per_atom": -5.434,
  "e_form_ev_per_atom": -0.021,
  "m_tot_mub_per_cell": 0.0,
  "dos_at_fermi_per_ev_atom": 0.354,
  "cell": [[3.801, 0.006, 0.008], [2.463, 2.895, 0.008], [0.420, 0.194, 4.297]],
  "species": ["P", "P", "Co", "Be"],
  "frac_coords": [[0.025, 0.025, 0.971], [0.475, 0.475, 0.529], [0.750, 0.750, 0.750], [0.250, 0.250, 0.250]]
}

=====

Entry 6:
{
  "formula": "Os3W3C2",
  "functional": "PBE-GGA",
  "state": "optimized geometry",
  "spacegroup": "P-3m1",
  "final_energy_ev_per_atom": -10.737,
  "e_form_ev_per_atom": 0.638,
  "m_tot_mub_per_cell": 0.0,
  "dos_at_fermi_per_ev_atom": 0.608,
  "cell": [[0.119, -0.463, 2.810], [-0.932, -2.053, -1.744], [13.872, -5.086, -1.426]],
  "species": ["Os", "Os", "Os", "W", "W", "W", "C", "C"],
  "frac_coords": [[0.667, 0.333, 0.190], [0.000, 0.000, 0.000], [0.333, 0.667, 0.810], [0.667, 0.333, 0.662], [0.000, 0.000, 0.500], [0.333, 0.667, 0.338], [0.333, 0.667, 0.100], [0.667, 0.333, 0.900]]
}

=====

Entry 7:
{
  "formula": "Tm4Ni3Rh",
  "functional": "PBE-GGA",
  "state": "optimized geometry",
  "spacegroup": "Pmm2",
  "final_energy_ev_per_atom": -5.928,
  "e_form_ev_per_atom": -0.605,
  "m_tot_mub_per_cell": 0.0,
  "dos_at_fermi_per_ev_atom": 0.524,
  "cell": [[-0.138, -0.132, -3.660], [-4.156, -0.453, 0.173], [-1.117, 10.130, -0.324]],
  "species": ["Ni", "Ni", "Ni", "Tm", "Tm", "Tm", "Tm", "Rh"],
  "frac_coords": [[0.000, 0.500, 0.571], [0.000, 0.000, 0.430], [0.500, 0.000, 0.917], [0.500, 0.500, 0.361], [0.000, 0.500, 0.859], [0.000, 0.000, 0.141], [0.500, 0.000, 0.639], [0.500, 0.500, 0.082]]
}

=====

Entry 8:
{
  "formula": "Cs2K4Rb2Na",
  "functional": "PBE-GGA",
  "state": "optimized geometry",
  "spacegroup": "I4/mmm",
  "final_energy_ev_per_atom": -1.006,
  "e_form_ev_per_atom": 0.033,
  "m_tot_mub_per_cell": 0.0,
  "dos_at_fermi_per_ev_atom": 0.854,
  "cell": [[10.213, -0.141, -0.204], [-5.027, 8.892, 0.204], [-5.027, -2.933, 8.397]],
  "species": ["Cs", "Cs", "K", "K", "K", "K", "Rb", "Rb", "Na"],
  "frac_coords": [[0.500, 0.750, 0.250], [0.500, 0.250, 0.750], [0.000, 0.735, 0.265], [0.470, 0.735, 0.735], [0.000, 0.265, 0.735], [0.530, 0.265, 0.265], [0.000, 0.730, 0.730], [0.000, 0.270, 0.270], [0.000, 0.000, 0.000]]
}

=====

Entry 9:
{
  "formula": "BaZrBe2Al",
  "functional": "PBE-GGA",
  "state": "optimized geometry",
  "spacegroup": "P4/mmm",
  "final_energy_ev_per_atom": -3.578,
  "e_form_ev_per_atom": 0.755,
  "m_tot_mub_per_cell": 0.0,
  "dos_at_fermi_per_ev_atom": 0.859,
  "cell": [[4.669, 0.000, 0.000], [0.000, 5.268, 0.000], [0.000, 0.000, 4.669]],
  "species": ["Be", "Be", "Ba", "Zr", "Al"],
  "frac_coords": [[0.000, 0.000, 0.500], [0.500, 0.000, 0.000], [0.500, 0.500, 0.500], [0.000, 0.500, 0.000], [0.000, 0.000, 0.000]]
}

=====

Entry 10:
{
  "formula": "MgAlTeRu2",
  "functional": "PBE-GGA",
  "state": "optimized geometry",
  "formation_energy_uncorrected_ev_per_atom": 1.14,
  "spacegroup": "P4/mmm",
  "final_energy_ev_per_atom": -4.271,
  "m_tot_mub_per_cell": 0.0,
  "dos_at_fermi_per_ev_atom": 1.454,
  "cell": [[4.848, 0.000, 0.000], [0.000, 5.092, 0.000], [0.000, 0.000, 4.848]],
  "species": ["Ru", "Ru", "Mg", "Te", "Al"],
  "frac_coords": [[0.000, 0.000, 0.500], [0.500, 0.000, 0.000], [0.500, 0.500, 0.500], [0.000, 0.000, 0.000], [0.000, 0.500, 0.000]]
}

=====

Entry 11:
{
  "formula": "Dy4Nb",
  "functional": "PBE-GGA",
  "state": "optimized geometry",
  "spacegroup": "Pm-3m",
  "final_energy_ev_per_atom": -5.206,
  "e_form_ev_per_atom": 0.489,
  "m_tot_mub_per_cell": 0.0,
  "dos_at_fermi_per_ev_atom": 1.233,
  "cell": [[-0.720, 3.139, 4.412], [-4.549, 2.063, -2.210], [-2.936, -3.966, 2.343]],
  "species": ["Nb", "Dy", "Dy", "Dy", "Dy"],
  "frac_coords": [[0.500, 0.500, 0.500], [0.000, 0.000, 0.000], [0.500, 0.000, 0.500], [0.000, 0.500, 0.500], [0.500, 0.500, 0.000]]
}

=====

Entry 12:
{
  "formula": "SmHgI2",
  "functional": "PBE-GGA",
  "state": "optimized geometry",
  "formation_energy_uncorrected_ev_per_atom": -0.92,
  "spacegroup": "R-3m",
  "final_energy_ev_per_atom": -2.953,
  "m_tot_mub_per_cell": 0.0,
  "dos_at_fermi_per_ev_atom": 0.451,
  "cell": [[-2.412, 2.721, 2.023], [-3.802, 0.884, -1.442], [-6.770, -7.987, 6.951]],
  "species": ["I", "I", "Hg", "Sm"],
  "frac_coords": [[0.112, 0.112, 0.665], [0.888, 0.888, 0.335], [0.000, 0.000, 0.000], [0.500, 0.500, 0.500]]
}

=====

Entry 13:
{
  "formula": "Pa2Co12GeH3",
  "functional": "PBE-GGA",
  "state": "optimized geometry",
  "spacegroup": "R-3m",
  "final_energy_ev_per_atom": -6.625,
  "m_tot_mub_per_cell": 7.5,
  "dos_at_fermi_per_ev_atom": 0.903,
  "cell": [[6.717, 0.166, 0.118], [3.461, 5.759, 0.118], [3.461, 2.015, 5.396]],
  "species": ["Pa", "Pa", "Co", "Co", "Co", "Co", "Co", "Co", "Co", "Co", "Co", "Co", "Co", "Co", "Ge", "H", "H", "H"],
  "frac_coords": [[0.604, 0.604, 0.604], [0.396, 0.396, 0.396], [0.282, 0.282, 0.898], [0.857, 0.857, 0.451], [0.451, 0.857, 0.857], [0.898, 0.282, 0.282], [0.857, 0.451, 0.857], [0.282, 0.898, 0.282], [0.718, 0.718, 0.102], [0.143, 0.143, 0.549], [0.549, 0.143, 0.143], [0.102, 0.718, 0.718], [0.143, 0.549, 0.143], [0.718, 0.102, 0.718], [0.000, 0.000, 0.000], [0.500, 0.000, 0.000], [0.000, 0.500, 0.000], [0.000, 0.000, 0.500]]
}

=====

Entry 14:
{
  "formula": "Cs3NdS3",
  "functional": "PBE-GGA",
  "state": "optimized geometry",
  "de_polymorph_kj_per_mol_fu": 0.0,
  "formation_energy_uncorrected_ev_per_atom": -1.43,
  "spacegroup": "C2/m",
  "final_energy_ev_per_atom": -4.246,
  "m_tot_mub_per_cell": 0.1,
  "dos_at_fermi_per_ev_atom": 0.000,
  "cell": [[-1.350, -6.347, -6.055], [3.312, -2.939, 7.692], [-8.200, 0.394, 2.683]],
  "species": ["Cs", "Cs", "Cs", "Cs", "Cs", "Cs", "Nd", "Nd", "S", "S", "S", "S", "S", "S"],
  "frac_coords": [[0.627, 0.627, 0.363], [0.184, 0.816, 0.500], [0.816, 0.184, 0.500], [0.250, 0.750, 0.000], [0.750, 0.250, 0.000], [0.373, 0.373, 0.637], [0.819, 0.819, 0.859], [0.181, 0.181, 0.141], [0.908, 0.908, 0.183], [0.832, 0.542, 0.728], [0.542, 0.832, 0.728], [0.168, 0.458, 0.272], [0.458, 0.168, 0.272], [0.092, 0.092, 0.817]]
}

=====

Entry 15:
{
  "formula": "CeNdSeS2",
  "functional": "PBE-GGA",
  "state": "optimized geometry",
  "formation_energy_uncorrected_ev_per_atom": -1.60,
  "spacegroup": "Cmcm",
  "final_energy_ev_per_atom": -6.088,
  "m_tot_mub_per_cell": 2.0,
  "dos_at_fermi_per_ev_atom": 1.066,
  "cell": [[-3.040, -4.537, 3.090], [5.082, -0.978, 3.564], [-4.839, 5.128, 2.768]],
  "species": ["Ce", "Ce", "Nd", "Nd", "Se", "Se", "S", "S", "S", "S"],
  "frac_coords": [[0.250, 0.613, 0.226], [0.750, 0.387, 0.774], [0.250, 0.882, 0.763], [0.750, 0.118, 0.237], [0.750, 0.749, 0.499], [0.250, 0.251, 0.501], [0.500, 0.250, 0.000], [0.000, 0.750, 0.000], [0.500, 0.750, 0.000], [0.000, 0.250, 0.000]]
}

=====

Entry 16:
{
  "formula": "LiZnAs2",
  "functional": "PBE-GGA",
  "state": "optimized geometry",
  "spacegroup": "P4/mmm",
  "final_energy_ev_per_atom": -3.249,
  "e_form_ev_per_atom": -0.127,
  "m_tot_mub_per_cell": 0.0,
  "dos_at_fermi_per_ev_atom": 0.415,
  "cell": [[-1.501, 2.930, -2.686], [-1.668, -3.071, -2.418], [-3.231, 0.180, 2.001]],
  "species": ["As", "As", "Li", "Zn"],
  "frac_coords": [[0.000, 0.000, 0.000], [0.500, 0.500, 0.000], [0.500, 0.000, 0.500], [0.000, 0.500, 0.500]]
}

=====

Entry 17:
{
  "formula": "RbCoS2I",
  "functional": "PBE-GGA",
  "state": "optimized geometry",
  "de_polymorph_kj_per_mol_fu": 0.0,
  "formation_energy_uncorrected_ev_per_atom": -0.21,
  "spacegroup": "P4/mmm",
  "final_energy_ev_per_atom": -3.782,
  "m_tot_mub_per_cell": 3.1,
  "dos_at_fermi_per_ev_atom": 0.818,
  "cell": [[4.659, 0.000, 0.000], [0.000, 5.900, 0.000], [0.000, 0.000, 4.659]],
  "species": ["I", "S", "S", "Co", "Rb"],
  "frac_coords": [[0.000, 0.500, 0.000], [0.000, 0.000, 0.500], [0.500, 0.000, 0.000], [0.000, 0.000, 0.000], [0.500, 0.500, 0.500]]
}

=====

Entry 18:
{
  "formula": "LaFeP2",
  "functional": "PBE-GGA",
  "state": "optimized geometry",
  "de_polymorph_kj_per_mol_fu": 41.6,
  "spacegroup": "P2/m",
  "final_energy_ev_per_atom": -6.814,
  "e_form_ev_per_atom": -0.762,
  "m_tot_mub_per_cell": 0.7,
  "dos_at_fermi_per_ev_atom": 0.585,
  "cell": [[-0.037, -3.261, -1.974], [-1.633, -2.118, 3.529], [-4.405, 0.427, -0.622]],
  "species": ["Fe", "La", "P", "P"],
  "frac_coords": [[0.500, 0.250, 0.250], [0.500, 0.750, 0.750], [0.000, 0.152, 0.013], [0.000, 0.348, 0.487]]
}

=====

Entry 19:
{
  "formula": "YPt2O",
  "functional": "PBE-GGA",
  "state": "optimized geometry",
  "formation_energy_uncorrected_ev_per_atom": -0.43,
  "spacegroup": "I-42d",
  "final_energy_ev_per_atom": -6.310,
  "m_tot_mub_per_cell": 0.0,
  "dos_at_fermi_per_ev_atom": 0.538,
  "cell": [[4.994, 0.000, 0.000], [0.000, 4.994, 0.000], [2.497, 2.497, 6.571]],
  "species": ["Y", "Y", "O", "O", "Pt", "Pt", "Pt", "Pt"],
  "frac_coords": [[0.000, 0.000, 0.000], [0.750, 0.250, 0.500], [0.500, 0.500, 0.000], [0.250, 0.750, 0.500], [0.483, 0.125, 0.250], [0.267, 0.625, 0.250], [0.375, 0.517, 0.750], [0.875, 0.733, 0.750]]
}

=====

Entry 20:
{
  "formula": "TcMo2Pb",
  "functional": "PBE-GGA",
  "state": "optimized geometry",
  "spacegroup": "P4mm",
  "final_energy_ev_per_atom": -8.469,
  "e_form_ev_per_atom": 0.465,
  "m_tot_mub_per_cell": 0.0,
  "dos_at_fermi_per_ev_atom": 1.216,
  "cell": [[-0.286, -1.886, -2.467], [2.665, 1.122, -1.167], [3.761, -5.229, 3.563]],
  "species": ["Mo", "Mo", "Pb", "Tc"],
  "frac_coords": [[0.000, 0.000, 0.990], [0.500, 0.500, 0.213], [0.000, 0.000, 0.506], [0.500, 0.500, 0.792]]
}